[1]
This record from the Alexandria database describes CaAsBr2 after structural relaxation. The functional is PBE.

Formation energy from raw total energies, kJ per mole of atoms: -40
Space-group type: F-43m, No. 216

abc: 5.396 5.396 5.396
angles: 60.00 60.00 60.00
Sites, in units of the cell vectors:
Ca (0.000, 0.000, 0.000)
As (0.750, 0.750, 0.750)
Br (0.250, 0.250, 0.250)
Br (0.500, 0.500, 0.500)

***

[2]
This record from the Alexandria database describes CaAsBr2 after structural relaxation. The functional is PBE.

Formation energy from raw total energies, kJ per mole of atoms: -74
Space-group type: P4/mmm, No. 123

abc: 3.504 3.504 10.584
angles: 90.00 90.00 90.00
Sites, in units of the cell vectors:
Ca (0.000, 0.000, 0.000)
As (0.000, 0.000, 0.500)
Br (0.500, 0.500, 0.162)
Br (0.500, 0.500, 0.838)

***

[3]
This record from the Alexandria database describes Ca6AsBr8 after structural relaxation. The functional is PBE.

Formation energy from raw total energies, kJ per mole of atoms: -173
Space-group type: R-3, No. 148

abc: 11.206 11.206 11.206
angles: 38.85 38.85 38.85
Sites, in units of the cell vectors:
Ca (0.135, 0.443, 0.751)
Ca (0.249, 0.865, 0.557)
Ca (0.443, 0.751, 0.135)
Ca (0.557, 0.249, 0.865)
Ca (0.751, 0.135, 0.443)
Ca (0.865, 0.557, 0.249)
As (0.500, 0.500, 0.500)
Br (0.042, 0.746, 0.394)
Br (0.167, 0.167, 0.167)
Br (0.254, 0.606, 0.958)
Br (0.394, 0.042, 0.746)
Br (0.606, 0.958, 0.254)
Br (0.746, 0.394, 0.042)
Br (0.833, 0.833, 0.833)
Br (0.958, 0.254, 0.606)

***

[4]
This record from the Alexandria database describes CaAsBr2 after structural relaxation. The functional is PBE.

Formation energy from raw total energies, kJ per mole of atoms: -76
Space-group type: Fmmm, No. 69

abc: 5.838 5.632 5.078
angles: 65.83 61.65 52.52
Sites, in units of the cell vectors:
Ca (0.000, 0.000, 0.000)
As (0.500, 0.500, 0.500)
Br (0.000, 0.500, 0.500)
Br (0.500, 0.000, 0.000)

***

[5]
This record from the Alexandria database describes CaAsBr2 after structural relaxation. The functional is PBE.

Formation energy from raw total energies, kJ per mole of atoms: -75
Space-group type: Pmmm, No. 47

abc: 3.769 4.505 6.086
angles: 90.00 90.00 90.00
Sites, in units of the cell vectors:
Ca (0.000, 0.000, 0.000)
As (0.500, 0.000, 0.500)
Br (0.000, 0.500, 0.500)
Br (0.500, 0.500, 0.000)

***

[6]
This record from the Alexandria database describes CaAsBr2 after structural relaxation. The functional is PBE.

Formation energy from raw total energies, kJ per mole of atoms: -86
Space-group type: Cm, No. 8

abc: 7.488 7.488 4.253
angles: 90.05 90.05 29.55
Sites, in units of the cell vectors:
Ca (0.000, 0.000, 0.000)
As (0.669, 0.669, 0.001)
Br (0.158, 0.158, 0.501)
Br (0.424, 0.424, 0.500)

***

[7]
This record from the Alexandria database describes Ca4AsBr after structural relaxation. The functional is PBE.

Formation energy from raw total energies, kJ per mole of atoms: -4
Space-group type: F-43m, No. 216

abc: 6.642 6.642 6.642
angles: 60.00 60.00 60.00
Sites, in units of the cell vectors:
Ca (0.123, 0.123, 0.123)
Ca (0.123, 0.123, 0.630)
Ca (0.123, 0.630, 0.123)
Ca (0.630, 0.123, 0.123)
As (0.750, 0.750, 0.750)
Br (0.500, 0.500, 0.500)

***

[8]
This record from the Alexandria database describes Ca3AsBr after structural relaxation. The functional is PBE.

Formation energy from raw total energies, kJ per mole of atoms: -77
Space-group type: Pm-3m, No. 221

abc: 5.670 5.670 5.670
angles: 90.00 90.00 90.00
Sites, in units of the cell vectors:
Ca (0.000, 0.000, 0.500)
Ca (0.000, 0.500, 0.000)
Ca (0.500, 0.000, 0.000)
As (0.000, 0.000, 0.000)
Br (0.500, 0.500, 0.500)

***

[9]
This record from the Alexandria database describes CaAsBr2 after structural relaxation. The functional is PBE.

Formation energy from raw total energies, kJ per mole of atoms: -59
Space-group type: P4/mmm, No. 123

abc: 4.874 4.874 4.250
angles: 90.00 90.00 90.00
Sites, in units of the cell vectors:
Ca (0.000, 0.000, 0.000)
As (0.500, 0.500, 0.000)
Br (0.000, 0.500, 0.500)
Br (0.500, 0.000, 0.500)

***

[10]
This record from the Alexandria database describes Ca3AsBr3 after structural relaxation. The functional is PBE.

Formation energy from raw total energies, kJ per mole of atoms: -171
Space-group type: Pm-3m, No. 221

abc: 5.960 5.960 5.960
angles: 90.00 90.00 90.00
Sites, in units of the cell vectors:
Ca (0.000, 0.000, 0.500)
Ca (0.000, 0.500, 0.000)
Ca (0.500, 0.000, 0.000)
As (0.000, 0.000, 0.000)
Br (0.000, 0.500, 0.500)
Br (0.500, 0.000, 0.500)
Br (0.500, 0.500, 0.000)

***

[11]
This record from the Alexandria database describes CaAs4Br after structural relaxation. The functional is PBE.

Formation energy from raw total energies, kJ per mole of atoms: -25
Space-group type: F-43m, No. 216

abc: 5.887 5.887 5.887
angles: 60.00 60.00 60.00
Sites, in units of the cell vectors:
Ca (0.000, 0.000, 0.000)
As (0.171, 0.610, 0.610)
As (0.610, 0.171, 0.610)
As (0.610, 0.610, 0.171)
As (0.610, 0.610, 0.610)
Br (0.250, 0.250, 0.250)

***

[12]
This record from the Alexandria database describes CaAsBr6 after structural relaxation. The functional is PBE.

Formation energy from raw total energies, kJ per mole of atoms: -79
Space-group type: R-3, No. 148

abc: 7.386 7.386 7.386
angles: 55.36 55.36 55.36
Sites, in units of the cell vectors:
Ca (0.000, 0.000, 0.000)
As (0.500, 0.500, 0.500)
Br (0.100, 0.722, 0.439)
Br (0.278, 0.561, 0.900)
Br (0.439, 0.100, 0.722)
Br (0.561, 0.900, 0.278)
Br (0.722, 0.439, 0.100)
Br (0.900, 0.278, 0.561)

***

[13]
This record from the Alexandria database describes CaAsBr2 after structural relaxation. The functional is PBE.

Formation energy from raw total energies, kJ per mole of atoms: -84
Space-group type: Pm, No. 6

abc: 4.824 5.945 5.185
angles: 90.00 116.32 90.00
Sites, in units of the cell vectors:
Ca (0.000, 0.000, 0.000)
As (0.968, 0.500, 0.969)
Br (0.323, 0.000, 0.639)
Br (0.536, 0.500, 0.228)

***

[14]
This record from the Alexandria database describes Ca3As2Br after structural relaxation. The functional is PBE.

Formation energy from raw total energies, kJ per mole of atoms: -113
Space-group type: C2/c, No. 15

abc: 8.366 8.366 14.856
angles: 94.04 94.04 138.45
Sites, in units of the cell vectors:
Ca (0.108, 0.892, 0.750)
Ca (0.166, 0.827, 0.010)
Ca (0.173, 0.834, 0.490)
Ca (0.247, 0.753, 0.250)
Ca (0.393, 0.475, 0.877)
Ca (0.475, 0.393, 0.377)
Ca (0.525, 0.607, 0.623)
Ca (0.607, 0.525, 0.123)
Ca (0.753, 0.247, 0.750)
Ca (0.827, 0.166, 0.510)
Ca (0.834, 0.173, 0.990)
Ca (0.892, 0.108, 0.250)
As (0.029, 0.151, 0.680)
As (0.151, 0.029, 0.180)
As (0.307, 0.586, 0.421)
As (0.414, 0.693, 0.079)
As (0.586, 0.307, 0.921)
As (0.693, 0.414, 0.579)
As (0.849, 0.971, 0.820)
As (0.971, 0.849, 0.320)
Br (0.209, 0.667, 0.852)
Br (0.333, 0.791, 0.648)
Br (0.667, 0.209, 0.352)
Br (0.791, 0.333, 0.148)

***

[15]
This record from the Alexandria database describes CaCd2AsBr after structural relaxation. The functional is PBE.

Formation energy from raw total energies, kJ per mole of atoms: -44
Space-group type: P4/mmm, No. 123

abc: 5.456 5.456 5.689
angles: 90.00 90.00 90.00
Sites, in units of the cell vectors:
Ca (0.000, 0.000, 0.000)
Cd (0.000, 0.500, 0.500)
Cd (0.500, 0.000, 0.500)
As (0.000, 0.000, 0.500)
Br (0.500, 0.500, 0.000)

***

[16]
This record from the Alexandria database describes CaAs2BrCl after structural relaxation. The functional is PBE.

Formation energy from raw total energies, kJ per mole of atoms: -2
Space-group type: P4/mmm, No. 123

abc: 4.752 4.752 6.396
angles: 90.00 90.00 90.00
Sites, in units of the cell vectors:
Ca (0.000, 0.000, 0.000)
As (0.000, 0.500, 0.500)
As (0.500, 0.000, 0.500)
Br (0.500, 0.500, 0.000)
Cl (0.500, 0.500, 0.500)

***

[17]
This record from the Alexandria database describes CaAs2BrCl after structural relaxation. The functional is PBE.

Formation energy from raw total energies, kJ per mole of atoms: 27
Space-group type: P4/mmm, No. 123

abc: 5.696 5.696 5.372
angles: 90.00 90.00 90.00
Sites, in units of the cell vectors:
Ca (0.000, 0.000, 0.000)
As (0.000, 0.500, 0.000)
As (0.500, 0.000, 0.000)
Br (0.000, 0.000, 0.500)
Cl (0.500, 0.500, 0.500)

***

[18]
This record from the Alexandria database describes CaCoAsBr2 after structural relaxation. The functional is PBE.

Formation energy from raw total energies, kJ per mole of atoms: -41
Space-group type: P4/mmm, No. 123

abc: 5.071 5.071 4.586
angles: 90.00 90.00 90.00
Sites, in units of the cell vectors:
Ca (0.000, 0.000, 0.000)
Co (0.500, 0.500, 0.500)
As (0.500, 0.500, 0.000)
Br (0.000, 0.500, 0.500)
Br (0.500, 0.000, 0.500)

***

[19]
This record from the Alexandria database describes CaCoAsBr2 after structural relaxation. The functional is PBE.

Formation energy from raw total energies, kJ per mole of atoms: 27
Space-group type: P4/mmm, No. 123

abc: 5.445 5.445 5.992
angles: 90.00 90.00 90.00
Sites, in units of the cell vectors:
Ca (0.000, 0.000, 0.000)
Co (0.500, 0.500, 0.500)
As (0.000, 0.000, 0.500)
Br (0.000, 0.500, 0.000)
Br (0.500, 0.000, 0.000)

***

[20]
This record from the Alexandria database describes CaCrAs2Br after structural relaxation. The functional is PBE.

Formation energy from raw total energies, kJ per mole of atoms: 108
Space-group type: P4/mmm, No. 123

abc: 5.410 5.410 5.285
angles: 90.00 90.00 90.00
Sites, in units of the cell vectors:
Ca (0.000, 0.000, 0.000)
Cr (0.500, 0.500, 0.500)
As (0.000, 0.500, 0.000)
As (0.500, 0.000, 0.000)
Br (0.000, 0.000, 0.500)